DFT (SCAN) results for a PBEsol-optimized structure of Al2Cr.

Summary:
N(E_F) ... 1.4 states/eV/cell
Energy of formation ... 0.10 eV per formula unit

The structure in CIF format:
```
data_Al2Cr
_chemical_formula_sum 'Al2 Cr1'
_symmetry_space_group_name_H-M 'P 6/m m m'
_symmetry_Int_Tables_number 191
_symmetry_space_group_name_Hall '-P 6 2'
_cell_length_a 4.2650
_cell_length_b 4.2650
_cell_length_c 2.5644
_cell_angle_alpha 90.00
_cell_angle_beta 90.00
_cell_angle_gamma 120.00
loop_
_atom_site_label
_atom_site_type_symbol
_atom_site_fract_x
_atom_site_fract_y
_atom_site_fract_z
Al1 Al 0.3333 0.6667 0.0000
Cr1 Cr 0.0000 0.0000 0.5000
```

***

DFT (SCAN) results for a PBEsol-optimized structure of NiRuPt2.

Summary:
Energy above the most stable polymorph in this dataset ... 65 meV per atom
N(E_F) ... 9.0 states/eV/cell
Energy of formation ... -0.03 eV per formula unit

The structure in CIF format:
```
data_NiRuPt2
_chemical_formula_sum 'Ni2 Ru2 Pt4'
_symmetry_space_group_name_H-M 'C 1 m 1'
_symmetry_Int_Tables_number 8
_cell_length_a 8.816
_cell_length_b 2.686
_cell_length_c 4.638
_cell_angle_alpha 90.00
_cell_angle_beta 100.50
_cell_angle_gamma 90.00
loop_
_symmetry_equiv_pos_as_xyz
'x,y,z'
'x,-y,z'
'x+1/2,y+1/2,z'
'x+1/2,-y+1/2,z'
loop_
_atom_site_label
_atom_site_type_symbol
_atom_site_fract_x
_atom_site_fract_y
_atom_site_fract_z
Ni1 Ni 0.000 0.000 0.000
Ru1 Ru 0.240 0.500 0.247
Pt1 Pt 0.250 0.000 0.762
Pt2 Pt 0.491 0.000 0.482
```

***

DFT (SCAN) results for a PBEsol-optimized structure of MgZnCd2.

Summary:
Energy above the most stable polymorph in this dataset ... 0 meV per atom
N(E_F) ... 1.2 states/eV/cell
Energy of formation ... -0.17 eV per formula unit

The structure in CIF format:
```
data_MgZnCd2
_chemical_formula_sum 'Mg1 Zn1 Cd2'
_symmetry_space_group_name_H-M 'P 1 m 1'
_symmetry_Int_Tables_number 6
_cell_length_a 3.119
_cell_length_b 4.502
_cell_length_c 5.705
_cell_angle_alpha 90.00
_cell_angle_beta 104.70
_cell_angle_gamma 90.00
loop_
_symmetry_equiv_pos_as_xyz
'x,y,z'
'x,-y,z'
loop_
_atom_site_label
_atom_site_type_symbol
_atom_site_fract_x
_atom_site_fract_y
_atom_site_fract_z
Mg1 Mg 0.000 0.000 0.000
Zn1 Zn 0.587 0.500 0.190
Cd1 Cd 0.334 0.500 0.691
Cd2 Cd 0.725 0.000 0.467
```

***

DFT (SCAN) results for a PBEsol-optimized structure of La2NiO4.

Summary:
Energy above the most stable polymorph in this dataset ... 4 meV per atom
N(E_F) ... 4.1 states/eV/cell
Uncorrected formation energy ... -289 kJ per mole of atoms

The structure in CIF format:
```
data_La2NiO4
_chemical_formula_sum 'La8 Ni4 O16'
_symmetry_space_group_name_H-M 'C m c e'
_symmetry_Int_Tables_number 64
_symmetry_space_group_name_Hall '-C 2ac 2'
_cell_length_a 5.285
_cell_length_b 12.805
_cell_length_c 5.341
_cell_angle_alpha 90.00
_cell_angle_beta 90.00
_cell_angle_gamma 90.00
loop_
_atom_site_label
_atom_site_type_symbol
_atom_site_fract_x
_atom_site_fract_y
_atom_site_fract_z
La1 La 0.000 0.137 0.006
Ni1 Ni 0.000 0.000 0.500
O1 O 0.000 0.181 0.473
O2 O 0.250 0.006 0.750
```

***

DFT (SCAN) results for a PBEsol-optimized structure of La5Hg.

Summary:
Energy above the most stable polymorph in this dataset ... 59 meV per atom
N(E_F) ... 14.8 states/eV/cell
Energy of formation ... -1.06 eV per formula unit

The structure in CIF format:
```
data_La5Hg
_chemical_formula_sum 'La10 Hg2'
_symmetry_space_group_name_H-M 'C m m m'
_symmetry_Int_Tables_number 65
_symmetry_space_group_name_Hall '-C 2 2'
_cell_length_a 4.868
_cell_length_b 15.052
_cell_length_c 4.988
_cell_angle_alpha 90.00
_cell_angle_beta 90.00
_cell_angle_gamma 90.00
loop_
_atom_site_label
_atom_site_type_symbol
_atom_site_fract_x
_atom_site_fract_y
_atom_site_fract_z
La1 La 0.000 0.000 0.000
La2 La 0.000 0.171 0.500
La3 La 0.000 0.341 0.000
Hg1 Hg 0.000 0.500 0.500
```

***

DFT (SCAN) results for a PBEsol-optimized structure of Hf6Si7Ni16.

Summary:
N(E_F) ... 64.8 states/eV/cell
Uncorrected formation energy ... -80 kJ per mole of atoms

The structure in CIF format:
```
data_Hf6Si7Ni16
_chemical_formula_sum 'Hf24 Si28 Ni64'
_symmetry_space_group_name_H-M 'F m -3 m'
_symmetry_Int_Tables_number 225
_symmetry_space_group_name_Hall '-F 4 2 3'
_cell_length_a 11.280
_cell_length_b 11.280
_cell_length_c 11.280
_cell_angle_alpha 90.00
_cell_angle_beta 90.00
_cell_angle_gamma 90.00
loop_
_atom_site_label
_atom_site_type_symbol
_atom_site_fract_x
_atom_site_fract_y
_atom_site_fract_z
Hf1 Hf 0.000 0.000 0.206
Si1 Si 0.000 0.000 0.500
Si2 Si 0.000 0.250 0.250
Ni1 Ni 0.118 0.118 0.382
Ni2 Ni 0.168 0.168 0.168
```

***

DFT (SCAN) results for a PBEsol-optimized structure of TcP2Os.

Summary:
Energy above the most stable polymorph in this dataset ... 26 meV per atom
N(E_F) ... 7.1 states/eV/cell
Energy of formation ... -0.28 eV per formula unit

The structure in CIF format:
```
data_TcP2Os
_chemical_formula_sum 'Tc3 P6 Os3'
_symmetry_space_group_name_H-M 'R -3 m'
_symmetry_Int_Tables_number 166
_symmetry_space_group_name_Hall '-R 3 2"'
_cell_length_a 2.8654
_cell_length_b 2.8654
_cell_length_c 21.9080
_cell_angle_alpha 90.00
_cell_angle_beta 90.00
_cell_angle_gamma 120.00
loop_
_atom_site_label
_atom_site_type_symbol
_atom_site_fract_x
_atom_site_fract_y
_atom_site_fract_z
Tc1 Tc 0.0000 0.0000 0.0000
P1 P 0.0000 0.0000 0.2512
Os1 Os 0.0000 0.0000 0.5000
```

***

DFT (SCAN) results for a PBEsol-optimized structure of SrAg2Os.

Summary:
Energy above the most stable polymorph in this dataset ... 1 meV per atom
N(E_F) ... 2.3 states/eV/cell
Energy of formation ... 2.57 eV per formula unit

The structure in CIF format:
```
data_SrAg2Os
_chemical_formula_sum 'Sr1 Ag2 Os1'
_symmetry_space_group_name_H-M 'P m m 2'
_symmetry_Int_Tables_number 25
_cell_length_a 2.758
_cell_length_b 4.451
_cell_length_c 6.217
_cell_angle_alpha 90.00
_cell_angle_beta 90.00
_cell_angle_gamma 90.00
loop_
_symmetry_equiv_pos_as_xyz
'x,y,z'
'-x,-y,z'
'-x,y,z'
'x,-y,z'
loop_
_atom_site_label
_atom_site_type_symbol
_atom_site_fract_x
_atom_site_fract_y
_atom_site_fract_z
Sr1 Sr 0.000 0.000 0.000
Ag1 Ag 0.000 0.000 0.517
Ag2 Ag 0.500 0.500 0.293
Os1 Os 0.500 0.500 0.726
```